RbCa3Pb: relaxed, PBE-GGA.

Cell: 6.2568 6.2568 6.2568 Å, 90.00 90.00 90.00°
Last column: nearest neighbours and their distance in Å.
Element x y z (fractional)
Rb (0.0000, 0.0000, 0.0000)  12 Ca 4.42
Ca (0.0000, 0.5000, 0.5000)  2 Pb 3.13
Ca (0.5000, 0.0000, 0.5000)  2 Pb 3.13
Ca (0.5000, 0.5000, 0.0000)  2 Pb 3.13
Pb (0.5000, 0.5000, 0.5000)  6 Ca 3.13

Summary:
Raw total energy, eV/atom: -2.213
Theoretical density, Mg/m³: 2.8
Crystal system: cubic
Energy above the lowest structure with this stoichiometry, eV/atom: 0.000